Record 1
LiNd2DyIn4: relaxed, PBE.

N(E_F): 4.28 states/eV/cell
energy of formation: -429 meV per atom

abc: 9.377 9.377 9.377
angles: 32.77 32.77 32.77
Fractional positions:
1 Li 0.000 0.000 0.000
2 Nd 0.255 0.255 0.255
3 Nd 0.745 0.745 0.745
4 Dy 0.500 0.500 0.500
5 In 0.125 0.125 0.125
6 In 0.375 0.375 0.375
7 In 0.625 0.625 0.625
8 In 0.875 0.875 0.875

***

Record 2
KYBr3: relaxed, PBE.

N(E_F): 5.14 states/eV/cell
formation energy from raw total energies: -0.63 eV/atom

abc: 5.738 5.738 5.738
angles: 90.00 90.00 90.00
Fractional positions:
1 K 0.000 0.000 0.000
2 Y 0.500 0.500 0.500
3 Br 0.000 0.000 0.500
4 Br 0.000 0.500 0.000
5 Br 0.500 0.000 0.000

***

Record 3
BaZnGa2Si: relaxed, PBE.

N(E_F): 1.47 states/eV/cell
formation energy from raw total energies: -0.34 eV/atom

abc: 6.191 6.191 6.191
angles: 136.85 136.66 62.82
Fractional positions:
1 Ba 0.000 0.000 0.000
2 Zn 0.250 0.750 0.500
3 Ga 0.620 0.620 0.000
4 Ga 0.750 0.250 0.500
5 Si 0.377 0.377 0.000

***

Record 4
YGe2Br: relaxed, PBE.

N(E_F): 2.84 states/eV/cell
distance to the lowest polymorph of the same formula: 0.79 eV/f.u.
formation energy from raw total energies: 0.08 eV/atom

abc: 5.131 5.131 5.131
angles: 60.00 60.00 60.00
Fractional positions:
1 Y 0.000 0.000 0.000
2 Ge 0.250 0.250 0.250
3 Ge 0.750 0.750 0.750
4 Br 0.500 0.500 0.500

***

Record 5
AgPW2: relaxed, PBE.

N(E_F): 3.08 states/eV/cell
distance to the lowest polymorph of the same formula: 1.54 eV/f.u.
energy of formation: 667 meV per atom

abc: 4.407 4.407 4.407
angles: 60.00 60.00 60.00
Fractional positions:
1 Ag 0.000 0.000 0.000
2 P 0.500 0.500 0.500
3 W 0.250 0.250 0.250
4 W 0.750 0.750 0.750

***

Record 6
Dy9Ho11Tm4: relaxed, PBE.

N(E_F): 29.93 states/eV/cell
energy of formation: 49 meV per atom

abc: 14.972 14.972 3.622
angles: 90.00 90.00 113.01
Fractional positions:
1 Dy 0.000 0.000 0.000
2 Dy 0.131 0.664 0.000
3 Dy 0.285 0.431 0.000
4 Dy 0.336 0.869 0.000
5 Dy 0.431 0.285 0.000
6 Dy 0.569 0.715 0.000
7 Dy 0.664 0.131 0.000
8 Dy 0.715 0.569 0.000
9 Dy 0.869 0.336 0.000
10 Ho 0.093 0.455 0.500
11 Ho 0.132 0.868 0.500
12 Ho 0.207 0.207 0.500
13 Ho 0.340 0.660 0.500
14 Ho 0.455 0.093 0.500
15 Ho 0.500 0.500 0.500
16 Ho 0.545 0.907 0.500
17 Ho 0.660 0.340 0.500
18 Ho 0.793 0.793 0.500
19 Ho 0.868 0.132 0.500
20 Ho 0.907 0.545 0.500
21 Tm 0.054 0.256 0.000
22 Tm 0.256 0.054 0.000
23 Tm 0.744 0.946 0.000
24 Tm 0.946 0.744 0.000

***

Record 7
BaHfMgSi2: relaxed, PBE.

N(E_F): 3.68 states/eV/cell
formation energy from raw total energies: 1.05 eV/atom

abc: 4.946 4.946 5.490
angles: 90.00 90.00 90.00
Fractional positions:
1 Ba 0.000 0.000 0.000
2 Hf 0.500 0.500 0.000
3 Mg 0.000 0.000 0.500
4 Si 0.000 0.500 0.500
5 Si 0.500 0.000 0.500

***

Record 8
SbMoAuI2: relaxed, PBE.

N(E_F): 3.23 states/eV/cell
distance to the lowest polymorph of the same formula: 2.06 eV/f.u.
formation energy from raw total energies: 1.14 eV/atom

abc: 5.625 5.625 5.461
angles: 90.00 90.00 90.00
Fractional positions:
1 Sb 0.000 0.000 0.000
2 Mo 0.500 0.500 0.000
3 Au 0.000 0.000 0.500
4 I 0.000 0.500 0.500
5 I 0.500 0.000 0.500

***

Record 9
SiNi2Pt: relaxed, PBE.

N(E_F): 3.55 states/eV/cell
formation energy from raw total energies: -0.34 eV/atom

abc: 4.477 4.477 4.477
angles: 131.44 131.44 71.12
Fractional positions:
1 Si 0.000 0.000 0.000
2 Ni 0.250 0.750 0.500
3 Ni 0.750 0.250 0.500
4 Pt 0.500 0.500 0.000

***

Record 10
Cs3HgI: relaxed, PBE.

N(E_F): 3.45 states/eV/cell
distance to the lowest polymorph of the same formula: 0.55 eV/f.u.
formation energy from raw total energies: -0.56 eV/atom

abc: 7.511 7.511 7.511
angles: 90.00 90.00 90.00
Fractional positions:
1 Cs 0.000 0.000 0.500
2 Cs 0.000 0.500 0.000
3 Cs 0.500 0.000 0.000
4 Hg 0.500 0.500 0.500
5 I 0.000 0.000 0.000

***

Record 11
Cr3Se2: relaxed, PBE.

N(E_F): 4.35 states/eV/cell
distance to the lowest polymorph of the same formula: 0.91 eV/f.u.
formation energy from raw total energies: 0.18 eV/atom

abc: 3.953 3.953 5.804
angles: 90.00 90.00 120.00
Fractional positions:
1 Cr 0.000 0.000 0.000
2 Cr 0.333 0.667 0.353
3 Cr 0.667 0.333 0.647
4 Se 0.333 0.667 0.766
5 Se 0.667 0.333 0.234

***

Record 12
RbPm2BiO5: relaxed, PBE.

formation energy from raw total energies: -2.26 eV/atom

abc: 8.099 8.099 8.099
angles: 129.42 129.42 74.34
Fractional positions:
1 Rb 0.250 0.250 0.000
2 Rb 0.750 0.750 0.000
3 Pm 0.179 0.679 0.859
4 Pm 0.321 0.179 0.500
5 Pm 0.679 0.821 0.500
6 Pm 0.821 0.321 0.141
7 Bi 0.250 0.750 0.500
8 Bi 0.750 0.250 0.500
9 O 0.000 0.000 0.000
10 O 0.029 0.238 0.500
11 O 0.238 0.738 0.208
12 O 0.262 0.471 0.500
13 O 0.471 0.971 0.208
14 O 0.500 0.500 0.000
15 O 0.529 0.029 0.792
16 O 0.738 0.529 0.500
17 O 0.762 0.262 0.792
18 O 0.971 0.762 0.500

***

Summary of calculated total energy in eV/atom
-3.805, -3.145, -3.276, -4.261, -7.875, -4.520, -3.816, -3.125, -6.101, -1.439, -6.985, -6.613
(order as listed above)